VASP calculation (PBE-GGA) on a relaxed structure of CdGa2SnO6.

Lattice parameters (Å, degrees): 7.1928 7.1928 6.0756 106.82 106.82 81.24
With the nearest neighbours (Å) after each atom.
Element x y z (fractional)
Cd 0.0976 0.9024 0.7500  6 O 2.22-2.45
Cd 0.9024 0.0976 0.2500  6 O 2.22-2.45
Ga 0.2202 0.3734 0.8411  4 O 1.85-1.91
Ga 0.3734 0.2202 0.3411  4 O 1.85-1.91
Ga 0.6266 0.7798 0.6589  4 O 1.85-1.91
Ga 0.7798 0.6266 0.1589  4 O 1.85-1.91
Sn 0.2668 0.7332 0.2500  6 O 2.03-2.20
Sn 0.7332 0.2668 0.7500  6 O 2.03-2.20
O 0.0150 0.2163 0.6846  1 Ga 1.85
O 0.1711 0.6402 0.8911  1 Ga 1.85, 1 Sn 2.03
O 0.2163 0.0150 0.1846  1 Ga 1.85
O 0.2879 0.4142 0.1796  2 Ga 1.86-1.91
O 0.3598 0.8289 0.6089  1 Ga 1.85, 1 Sn 2.03
O 0.4142 0.2879 0.6796  2 Ga 1.86-1.91
O 0.5858 0.7121 0.3204  2 Ga 1.86-1.91
O 0.6402 0.1711 0.3911  1 Ga 1.85, 1 Sn 2.03
O 0.7121 0.5858 0.8204  2 Ga 1.86-1.91
O 0.7837 0.9850 0.8154  1 Ga 1.85
O 0.8289 0.3598 0.1089  1 Ga 1.85, 1 Sn 2.03
O 0.9850 0.7837 0.3154  1 Ga 1.85

Computed properties:
* calculated volume: 14.360 Å³ per atom
* spin magnetization: 0.0 μB per formula unit
* crystal system: monoclinic
* VASP energy: -5.671 eV/atom